1.
# Mg2VPd8 PBE optimized geometry
data_Mg2VPd8
_cell_length_a 4.023
_cell_length_b 6.238
_cell_length_c 7.328
_cell_angle_alpha 105.75
_cell_angle_beta 105.93
_cell_angle_gamma 90.00
_symmetry_space_group_name_H-M 'P 1'
_symmetry_Int_Tables_number 1
loop_
_symmetry_equiv_pos_as_xyz
'x,y,z'
loop_
_atom_site_label
_atom_site_type_symbol
_atom_site_fract_x
_atom_site_fract_y
_atom_site_fract_z
Mg1 Mg 0.778 0.349 0.557
Mg2 Mg 0.222 0.651 0.443
V1 V 0.500 0.000 0.000
Pd1 Pd 0.406 0.552 0.813
Pd2 Pd 0.677 0.914 0.355
Pd3 Pd 0.863 0.821 0.726
Pd4 Pd 0.959 0.271 0.918
Pd5 Pd 0.137 0.179 0.274
Pd6 Pd 0.323 0.086 0.645
Pd7 Pd 0.594 0.448 0.187
Pd8 Pd 0.041 0.729 0.082
# M_tot in μB/f.u.: 1.5
# N(E_F) in states/eV/f.u.: 7.32
# DFT total energy in hartree per atom: -0.1944
# Energy relative to the lowest polymorph listed for this composition in meV/atom: 0.0
# Energy of formation in eV per atom: -0.39


2.
# CeEuN PBE optimized geometry
data_CeEuN
_cell_length_a 3.616
_cell_length_b 3.616
_cell_length_c 6.412
_cell_angle_alpha 90.00
_cell_angle_beta 90.00
_cell_angle_gamma 120.00
_symmetry_space_group_name_H-M 'P 1'
_symmetry_Int_Tables_number 1
loop_
_symmetry_equiv_pos_as_xyz
'x,y,z'
loop_
_atom_site_label
_atom_site_type_symbol
_atom_site_fract_x
_atom_site_fract_y
_atom_site_fract_z
Eu1 Eu 0.000 0.000 0.899
Ce1 Ce 0.667 0.333 0.460
N1 N 0.333 0.667 0.641
# E_form (uncorrected) in eV per atom: -0.815
# M_tot in μB/f.u.: 8.5
# N(E_F) in states/eV/f.u.: 4.45
# DFT total energy in hartree per atom: -0.3305
# Energy relative to the lowest polymorph listed for this composition in meV/atom: 0.0


3.
# Ga2HgBi PBE optimized geometry
data_Ga2HgBi
_cell_length_a 5.212
_cell_length_b 5.212
_cell_length_c 5.212
_cell_angle_alpha 60.00
_cell_angle_beta 60.00
_cell_angle_gamma 60.00
_symmetry_space_group_name_H-M 'P 1'
_symmetry_Int_Tables_number 1
loop_
_symmetry_equiv_pos_as_xyz
'x,y,z'
loop_
_atom_site_label
_atom_site_type_symbol
_atom_site_fract_x
_atom_site_fract_y
_atom_site_fract_z
Bi1 Bi 0.500 0.500 0.500
Ga1 Ga 0.250 0.250 0.250
Ga2 Ga 0.750 0.750 0.750
Hg1 Hg 0.000 0.000 0.000
# M_tot in μB/f.u.: 0.0
# N(E_F) in states/eV/f.u.: 1.41
# DFT total energy in hartree per atom: -0.0921
# Energy relative to the lowest polymorph listed for this composition in meV/atom: 0.0
# Energy of formation in eV per atom: 0.05


4.
# Cs2Ce2ZnSe6 PBE optimized geometry
data_Cs2Ce2ZnSe6
_cell_length_a 7.545
_cell_length_b 7.545
_cell_length_c 8.862
_cell_angle_alpha 96.98
_cell_angle_beta 96.98
_cell_angle_gamma 124.51
_symmetry_space_group_name_H-M 'P 1'
_symmetry_Int_Tables_number 1
loop_
_symmetry_equiv_pos_as_xyz
'x,y,z'
loop_
_atom_site_label
_atom_site_type_symbol
_atom_site_fract_x
_atom_site_fract_y
_atom_site_fract_z
Cs1 Cs 0.847 0.153 0.000
Cs2 Cs 0.153 0.847 0.000
Ce1 Ce 0.334 0.666 0.500
Ce2 Ce 0.666 0.334 0.500
Zn1 Zn 0.000 0.000 0.500
Se1 Se 0.762 0.762 0.655
Se2 Se 0.054 0.419 0.689
Se3 Se 0.238 0.238 0.345
Se4 Se 0.419 0.054 0.689
Se5 Se 0.946 0.581 0.311
Se6 Se 0.581 0.946 0.311
# E_form (uncorrected) in eV per atom: -1.325
# M_tot in μB/f.u.: 0.0
# DFT total energy in hartree per atom: -0.1682


5.
# AcMnCl2 PBE optimized geometry
data_AcMnCl2
_cell_length_a 3.844
_cell_length_b 3.844
_cell_length_c 9.126
_cell_angle_alpha 77.84
_cell_angle_beta 77.84
_cell_angle_gamma 60.00
_symmetry_space_group_name_H-M 'P 1'
_symmetry_Int_Tables_number 1
loop_
_symmetry_equiv_pos_as_xyz
'x,y,z'
loop_
_atom_site_label
_atom_site_type_symbol
_atom_site_fract_x
_atom_site_fract_y
_atom_site_fract_z
Ac1 Ac 0.000 0.000 0.000
Mn1 Mn 0.500 0.500 0.500
Cl1 Cl 0.116 0.116 0.652
Cl2 Cl 0.884 0.884 0.348
# E_form (uncorrected) in eV per atom: -0.666
# M_tot in μB/f.u.: 3.6
# N(E_F) in states/eV/f.u.: 3.19
# DFT total energy in hartree per atom: -0.1804


6.
# Sm2ZnS4 PBE optimized geometry
data_Sm2ZnS4
_cell_length_a 6.501
_cell_length_b 6.681
_cell_length_c 7.678
_cell_angle_alpha 90.00
_cell_angle_beta 107.36
_cell_angle_gamma 90.00
_symmetry_space_group_name_H-M 'P 1'
_symmetry_Int_Tables_number 1
loop_
_symmetry_equiv_pos_as_xyz
'x,y,z'
loop_
_atom_site_label
_atom_site_type_symbol
_atom_site_fract_x
_atom_site_fract_y
_atom_site_fract_z
Sm1 Sm 0.718 0.750 0.056
Sm2 Sm 0.282 0.250 0.944
Sm3 Sm 0.266 0.250 0.442
Sm4 Sm 0.734 0.750 0.558
Zn1 Zn 0.248 0.750 0.189
Zn2 Zn 0.752 0.250 0.811
S1 S 0.505 0.494 0.254
S2 S 0.043 0.750 0.888
S3 S 0.957 0.250 0.112
S4 S 0.505 0.006 0.254
S5 S 0.955 0.250 0.614
S6 S 0.495 0.994 0.746
S7 S 0.495 0.506 0.746
S8 S 0.045 0.750 0.386
# E_form (uncorrected) in eV per atom: -1.581
# M_tot in μB/f.u.: 0.0
# DFT total energy in hartree per atom: -0.2010
# Energy relative to the lowest polymorph listed for this composition in meV/atom: 51.6


7.
# Cr2CoSe PBE optimized geometry
data_Cr2CoSe
_cell_length_a 4.237
_cell_length_b 4.237
_cell_length_c 2.981
_cell_angle_alpha 90.00
_cell_angle_beta 90.00
_cell_angle_gamma 104.57
_symmetry_space_group_name_H-M 'P 1'
_symmetry_Int_Tables_number 1
loop_
_symmetry_equiv_pos_as_xyz
'x,y,z'
loop_
_atom_site_label
_atom_site_type_symbol
_atom_site_fract_x
_atom_site_fract_y
_atom_site_fract_z
Co1 Co 0.000 0.500 0.500
Cr1 Cr 0.000 0.000 0.000
Cr2 Cr 0.500 0.500 0.000
Se1 Se 0.500 0.000 0.500
# E_form (uncorrected) in eV per atom: 0.300
# M_tot in μB/f.u.: 4.7
# N(E_F) in states/eV/f.u.: 5.05
# DFT total energy in hartree per atom: -0.2631


8.
# Np3N4 PBE optimized geometry
data_Np3N4
_cell_length_a 4.728
_cell_length_b 4.728
_cell_length_c 4.728
_cell_angle_alpha 90.00
_cell_angle_beta 90.00
_cell_angle_gamma 90.00
_symmetry_space_group_name_H-M 'P 1'
_symmetry_Int_Tables_number 1
loop_
_symmetry_equiv_pos_as_xyz
'x,y,z'
loop_
_atom_site_label
_atom_site_type_symbol
_atom_site_fract_x
_atom_site_fract_y
_atom_site_fract_z
Np1 Np 0.000 0.500 0.000
Np2 Np 0.000 0.000 0.500
Np3 Np 0.500 0.000 0.000
N1 N 0.000 0.000 0.000
N2 N 0.000 0.500 0.500
N3 N 0.500 0.000 0.500
N4 N 0.500 0.500 0.000
# E_form (uncorrected) in eV per atom: -0.730
# M_tot in μB/f.u.: 8.8
# N(E_F) in states/eV/f.u.: 13.13
# DFT total energy in hartree per atom: -0.4055


9.
# LiHfB PBE optimized geometry
data_LiHfB
_cell_length_a 8.070
_cell_length_b 3.920
_cell_length_c 5.642
_cell_angle_alpha 90.00
_cell_angle_beta 90.00
_cell_angle_gamma 90.00
_symmetry_space_group_name_H-M 'P 1'
_symmetry_Int_Tables_number 1
loop_
_symmetry_equiv_pos_as_xyz
'x,y,z'
loop_
_atom_site_label
_atom_site_type_symbol
_atom_site_fract_x
_atom_site_fract_y
_atom_site_fract_z
B1 B 0.874 0.250 0.313
B2 B 0.626 0.750 0.813
B3 B 0.126 0.750 0.687
B4 B 0.374 0.250 0.187
Hf1 Hf 0.152 0.250 0.456
Hf2 Hf 0.348 0.750 0.956
Hf3 Hf 0.848 0.750 0.544
Hf4 Hf 0.652 0.250 0.044
Li1 Li 0.075 0.250 0.937
Li2 Li 0.425 0.750 0.437
Li3 Li 0.925 0.750 0.063
Li4 Li 0.575 0.250 0.563
# M_tot in μB/f.u.: 0.0
# N(E_F) in states/eV/f.u.: 0.02
# DFT total energy in hartree per atom: -0.2301
# Energy relative to the lowest polymorph listed for this composition in meV/atom: 275.2
# Energy of formation in eV per atom: -0.08


10.
# K3TeF6 PBE optimized geometry
data_K3TeF6
_cell_length_a 6.886
_cell_length_b 6.735
_cell_length_c 6.735
_cell_angle_alpha 56.21
_cell_angle_beta 55.38
_cell_angle_gamma 55.38
_symmetry_space_group_name_H-M 'P 1'
_symmetry_Int_Tables_number 1
loop_
_symmetry_equiv_pos_as_xyz
'x,y,z'
loop_
_atom_site_label
_atom_site_type_symbol
_atom_site_fract_x
_atom_site_fract_y
_atom_site_fract_z
K1 K 0.276 0.254 0.254
K2 K 0.724 0.746 0.746
K3 K 0.000 0.000 0.000
Te1 Te 0.500 0.500 0.500
F1 F 0.329 0.214 0.637
F2 F 0.671 0.363 0.786
F3 F 0.671 0.786 0.363
F4 F 0.329 0.637 0.214
F5 F 0.151 0.720 0.720
F6 F 0.849 0.280 0.280
# E_form (uncorrected) in eV per atom: -2.362
# M_tot in μB/f.u.: 1.0
# DFT total energy in hartree per atom: -0.1517


> Number 8 is which compound?

Np3N4